1.
An optimized crystal structure of KNb, computed with PBE.

Unit cell a=10.0740 b=10.0740 c=10.0740 alpha=90.00 beta=90.00 gamma=90.00
Element x y z (fractional)
K 0.0000 0.2500 0.5000
K 0.0000 0.7500 0.5000
K 0.2500 0.5000 0.0000
K 0.5000 0.0000 0.2500
K 0.5000 0.0000 0.7500
K 0.7500 0.5000 0.0000
Nb 0.0000 0.5000 0.2500
Nb 0.0000 0.5000 0.7500
Nb 0.2500 0.0000 0.5000
Nb 0.5000 0.2500 0.0000
Nb 0.5000 0.7500 0.0000
Nb 0.7500 0.0000 0.5000

Results
**Polymorph energy (0 for the lowest one)**: 2.015 eV/atom
**ΔE_f**: 2.89 eV/atom
**Fermi-level density of states**: 4.6671 states/eV per atom
**V**: 85.20 A^3/atom
**Total magnetization**: 29.334 μB per cell


2.
An optimized crystal structure of KNb, computed with PBE.

Unit cell a=6.9836 b=6.9836 c=7.0980 alpha=90.00 beta=90.00 gamma=90.00
Element x y z (fractional)
K 0.1613 0.1613 0.0000
K 0.3387 0.6613 0.5000
K 0.6613 0.3387 0.5000
K 0.8387 0.8387 0.0000
Nb 0.1072 0.1072 0.5000
Nb 0.3928 0.6072 0.0000
Nb 0.6072 0.3928 0.0000
Nb 0.8928 0.8928 0.5000

Results
**Polymorph energy (0 for the lowest one)**: 0.843 eV/atom
**ΔE_f**: 1.72 eV/atom
**Fermi-level density of states**: 1.4381 states/eV per atom
**V**: 43.27 A^3/atom
**Total magnetization**: 1.197 μB per cell


3.
An optimized crystal structure of KNb, computed with PBE.

Unit cell a=5.0348 b=5.0348 c=5.0348 alpha=60.00 beta=60.00 gamma=60.00
Element x y z (fractional)
K 0.0000 0.0000 0.0000
Nb 0.5000 0.5000 0.5000

Results
**Polymorph energy (0 for the lowest one)**: 1.720 eV/atom
**ΔE_f**: 2.60 eV/atom
**Fermi-level density of states**: 2.5799 states/eV per atom
**V**: 45.12 A^3/atom
**Total magnetization**: 4.757 μB per cell


4.
An optimized crystal structure of KNb, computed with PBE.

Unit cell a=9.1991 b=9.1991 c=9.1991 alpha=109.47 beta=109.47 gamma=109.47
Element x y z (fractional)
K 0.0000 0.0000 0.5703
K 0.0000 0.5703 0.0000
K 0.4297 0.4297 0.4297
K 0.5703 0.0000 0.0000
Nb 0.0000 0.0000 0.1681
Nb 0.0000 0.1681 0.0000
Nb 0.1681 0.0000 0.0000
Nb 0.8319 0.8319 0.8319

Results
**Polymorph energy (0 for the lowest one)**: 0.420 eV/atom
**ΔE_f**: 1.30 eV/atom
**Fermi-level density of states**: 1.1828 states/eV per atom
**V**: 74.91 A^3/atom
**Total magnetization**: 0.000 μB per cell


5.
An optimized crystal structure of K3Nb, computed with PBE.

Unit cell a=8.2491 b=8.2491 c=6.5524 alpha=90.00 beta=90.00 gamma=120.00
Element x y z (fractional)
K 0.1777 0.3555 0.2500
K 0.1777 0.8223 0.2500
K 0.3555 0.1777 0.7500
K 0.6445 0.8223 0.2500
K 0.8223 0.1777 0.7500
K 0.8223 0.6445 0.7500
Nb 0.3333 0.6667 0.7500
Nb 0.6667 0.3333 0.2500

Results
**Polymorph energy (0 for the lowest one)**: 0.004 eV/atom
**ΔE_f**: 1.12 eV/atom
**Fermi-level density of states**: 1.2037 states/eV per atom
**V**: 48.27 A^3/atom
**Total magnetization**: 10.267 μB per cell


6.
An optimized crystal structure of KNb, computed with PBE.

Unit cell a=14.6787 b=14.6787 c=2.9329 alpha=90.00 beta=90.00 gamma=90.00
Element x y z (fractional)
K 0.0000 0.3610 0.0000
K 0.0000 0.6390 0.0000
K 0.2760 0.2760 0.5000
K 0.2760 0.7240 0.5000
K 0.3610 0.0000 0.0000
K 0.6390 0.0000 0.0000
K 0.7240 0.2760 0.5000
K 0.7240 0.7240 0.5000
Nb 0.2075 0.5000 0.5000
Nb 0.3605 0.5000 0.0000
Nb 0.5000 0.2075 0.5000
Nb 0.5000 0.3605 0.0000
Nb 0.5000 0.6395 0.0000
Nb 0.5000 0.7925 0.5000
Nb 0.6395 0.5000 0.0000
Nb 0.7925 0.5000 0.5000

Results
**Polymorph energy (0 for the lowest one)**: 0.140 eV/atom
**ΔE_f**: 1.02 eV/atom
**Fermi-level density of states**: 1.0476 states/eV per atom
**V**: 39.50 A^3/atom
**Total magnetization**: 0.001 μB per cell


7.
An optimized crystal structure of K3Nd3NbO8, computed with PBE.

Unit cell a=7.5181 b=7.5181 c=7.5181 alpha=56.16 beta=56.16 gamma=56.16
Element x y z (fractional)
K 0.0000 0.5000 0.5000
K 0.5000 0.0000 0.5000
K 0.5000 0.5000 0.0000
Nd 0.0000 0.0000 0.5000
Nd 0.0000 0.5000 0.0000
Nd 0.5000 0.0000 0.0000
Nb 0.5000 0.5000 0.5000
O 0.2315 0.2315 0.2315
O 0.2583 0.7071 0.7071
O 0.2929 0.2929 0.7417
O 0.2929 0.7417 0.2929
O 0.7071 0.2583 0.7071
O 0.7071 0.7071 0.2583
O 0.7417 0.2929 0.2929
O 0.7685 0.7685 0.7685

Results
**Energy relative to the elements, uncorrected**: -38.47 eV/f.u.
**Fermi-level density of states**: 0.1519 states/eV per atom
**V**: 18.25 A^3/atom
**Total magnetization**: 1.006 μB per cell


8.
An optimized crystal structure of KNdZrNbO6, computed with PBE.

Unit cell a=5.8266 b=5.8266 c=5.8266 alpha=60.00 beta=60.00 gamma=60.00
Element x y z (fractional)
K 0.0000 0.0000 0.0000
Nd 0.5000 0.5000 0.5000
Zr 0.2500 0.2500 0.2500
Nb 0.7500 0.7500 0.7500
O 0.5044 0.5044 0.9956
O 0.5044 0.9956 0.5044
O 0.5044 0.9956 0.9956
O 0.9956 0.5044 0.5044
O 0.9956 0.5044 0.9956
O 0.9956 0.9956 0.5044

Results
**Energy relative to the elements, uncorrected**: -27.42 eV/f.u.
**Fermi-level density of states**: 0.2218 states/eV per atom
**V**: 13.99 A^3/atom
**Total magnetization**: 0.000 μB per cell


9.
An optimized crystal structure of K3Nd3NbS8, computed with PBE.

Unit cell a=8.8664 b=8.8664 c=8.8664 alpha=54.45 beta=54.45 gamma=54.45
Element x y z (fractional)
K 0.0000 0.5000 0.5000
K 0.5000 0.0000 0.5000
K 0.5000 0.5000 0.0000
Nd 0.0000 0.0000 0.5000
Nd 0.0000 0.5000 0.0000
Nd 0.5000 0.0000 0.0000
Nb 0.5000 0.5000 0.5000
S 0.2367 0.2367 0.2367
S 0.2624 0.7149 0.7149
S 0.2851 0.2851 0.7376
S 0.2851 0.7376 0.2851
S 0.7149 0.2624 0.7149
S 0.7149 0.7149 0.2624
S 0.7376 0.2851 0.2851
S 0.7633 0.7633 0.7633

Results
**Energy relative to the elements, uncorrected**: -24.24 eV/f.u.
**Fermi-level density of states**: 0.3381 states/eV per atom
**V**: 28.60 A^3/atom
**Total magnetization**: 1.015 μB per cell


10.
An optimized crystal structure of K3Nd3NbSe8, computed with PBE.

Unit cell a=9.2489 b=9.2489 c=9.2489 alpha=54.10 beta=54.10 gamma=54.10
Element x y z (fractional)
K 0.0000 0.5000 0.5000
K 0.5000 0.0000 0.5000
K 0.5000 0.5000 0.0000
Nd 0.0000 0.0000 0.5000
Nd 0.0000 0.5000 0.0000
Nd 0.5000 0.0000 0.0000
Nb 0.5000 0.5000 0.5000
Se 0.2379 0.2379 0.2379
Se 0.2616 0.7175 0.7175
Se 0.2825 0.2825 0.7384
Se 0.2825 0.7384 0.2825
Se 0.7175 0.2616 0.7175
Se 0.7175 0.7175 0.2616
Se 0.7384 0.2825 0.2825
Se 0.7621 0.7621 0.7621

Results
**Energy relative to the elements, uncorrected**: -22.40 eV/f.u.
**Fermi-level density of states**: 0.3449 states/eV per atom
**V**: 32.16 A^3/atom
**Total magnetization**: 1.010 μB per cell


11.
An optimized crystal structure of KNbNi, computed with PBE.

Unit cell a=2.8492 b=4.1445 c=6.2877 alpha=90.00 beta=90.20 gamma=90.00
Element x y z (fractional)
K 0.0000 0.0000 0.0000
Nb 0.0078 0.5000 0.5000
Ni 0.5079 0.0000 0.4998

Results
**Polymorph energy (0 for the lowest one)**: 0.432 eV/atom
**ΔE_f**: 0.68 eV/atom
**Fermi-level density of states**: 1.0622 states/eV per atom
**V**: 24.75 A^3/atom
**Total magnetization**: 0.000 μB per cell


12.
An optimized crystal structure of K3NbNi, computed with PBE.

Unit cell a=6.6505 b=6.6505 c=6.6505 alpha=90.00 beta=90.00 gamma=90.00
Element x y z (fractional)
K 0.0000 0.0000 0.5000
K 0.0000 0.5000 0.0000
K 0.5000 0.0000 0.0000
Nb 0.0000 0.0000 0.0000
Ni 0.5000 0.5000 0.5000

Results
**ΔE_f**: 1.68 eV/atom
**Fermi-level density of states**: 4.5545 states/eV per atom
**V**: 58.83 A^3/atom
**Total magnetization**: 4.095 μB per cell